Entry 1:
15
Lattice="5.586 0.000 0.000 -2.793 4.838 0.000 0.000 0.000 10.500" Properties=species:S:1:pos:R:3 comment="GGA-PBE Ce3P2PtRh9, relaxed" final_energy_ev_per_atom=-7.300 dos_ef_per_ev_fu=13.482 magnetic_moment_mub_per_fu=0.35 crystal_system=trigonal pbc="T T T"
Ce 0.000 0.000 0.000
Ce 0.000 3.225 6.374
Ce 2.793 1.613 4.127
P 0.000 3.225 1.634
P 2.793 1.613 8.867
Pt 0.000 0.000 5.250
Rh -1.397 2.419 0.000
Rh 0.000 1.559 3.123
Rh -1.443 4.058 3.123
Rh 1.351 0.780 7.377
Rh 2.793 0.000 0.000
Rh 1.397 2.419 0.000
Rh 1.443 4.058 3.123
Rh 4.236 0.780 7.377
Rh 2.793 3.279 7.377

=====

Entry 2:
18
Lattice="4.082 2.357 6.054 -4.082 2.357 6.054 0.000 -4.714 6.054" Properties=species:S:1:pos:R:3 comment="GGA-PBE Ce2P3Pt12Rh, relaxed" final_energy_ev_per_atom=-6.345 dos_ef_per_ev_fu=14.396 magnetic_moment_mub_per_fu=0.43 crystal_system=trigonal pbc="T T T"
Ce 0.000 0.000 2.121
Ce 0.000 0.000 16.041
P -2.041 -1.178 6.054
P -2.041 1.178 12.108
P 0.000 2.357 6.054
Pt -2.102 -1.214 8.361
Pt 0.000 -2.158 5.483
Pt -1.869 1.079 5.483
Pt 0.000 -2.427 9.800
Pt -2.102 1.214 9.800
Pt -1.869 -1.079 12.678
Pt 1.869 1.079 5.483
Pt 2.102 -1.214 8.361
Pt 0.000 2.427 8.361
Pt 1.869 -1.079 12.678
Pt 0.000 2.158 12.678
Pt 2.102 1.214 9.800
Rh 0.000 0.000 9.081

=====

Entry 3:
10
Lattice="4.245 0.000 0.000 0.000 4.245 0.000 0.000 0.000 9.619" Properties=species:S:1:pos:R:3 comment="GGA-PBE Ce2P4RuPt3, relaxed" final_energy_ev_per_atom=-7.049 dos_ef_per_ev_fu=12.823 magnetic_moment_mub_per_fu=1.96 crystal_system=tetragonal pbc="T T T"
Ce 0.000 2.123 2.360
Ce 2.123 0.000 7.259
P 0.000 0.000 0.000
P 0.000 2.123 6.088
P 2.123 0.000 3.532
P 2.123 2.123 0.000
Ru 0.000 0.000 4.810
Pt 0.000 2.123 8.482
Pt 2.123 0.000 1.138
Pt 2.123 2.123 4.810

=====

Entry 4:
8
Lattice="7.095 0.000 0.000 0.000 4.037 0.000 -2.336 0.000 6.759" Properties=species:S:1:pos:R:3 comment="GGA-PBE Ce4PPtS2, relaxed" dos_ef_per_ev_fu=21.568 magnetic_moment_mub_per_fu=3.48 crystal_system=monoclinic raw_formation_energy_kj_per_mol_atoms=-153 pbc="T T T"
Ce 1.190 0.000 1.668
Ce 0.003 2.019 5.096
Ce 3.568 0.000 5.091
Ce 4.755 2.019 1.663
P 3.547 0.000 0.000
Pt 2.379 2.019 3.380
S -1.168 0.000 3.380
S 0.000 2.019 0.000

=====

Entry 5:
10
Lattice="4.133 0.000 0.000 0.000 4.133 0.000 0.000 0.000 10.846" Properties=species:S:1:pos:R:3 comment="GGA-PBE Ce2ScP3Pt4, relaxed" final_energy_ev_per_atom=-6.877 dos_ef_per_ev_fu=11.650 magnetic_moment_mub_per_fu=1.27 crystal_system=tetragonal pbc="T T T"
Ce 0.000 2.067 2.453
Ce 2.067 0.000 8.393
Sc 0.000 0.000 5.423
P 0.000 2.067 9.420
P 2.067 0.000 1.426
P 2.067 2.067 5.423
Pt 0.000 0.000 0.000
Pt 0.000 2.067 7.063
Pt 2.067 0.000 3.784
Pt 2.067 2.067 0.000

=====

Entry 6:
8
Lattice="7.281 0.000 0.000 0.000 4.114 0.000 -2.363 0.000 6.897" Properties=species:S:1:pos:R:3 comment="GGA-PBE Ce4PPtSe2, relaxed" dos_ef_per_ev_fu=23.381 magnetic_moment_mub_per_fu=3.83 crystal_system=monoclinic raw_formation_energy_kj_per_mol_atoms=-145 pbc="T T T"
Ce 1.200 0.000 1.636
Ce 0.034 2.057 5.271
Ce 4.884 2.057 1.626
Ce 3.718 0.000 5.260
P 0.000 2.057 0.000
Pt 3.641 0.000 0.000
Se -1.182 0.000 3.448
Se 2.459 2.057 3.448

=====

Entry 7:
10
Lattice="0.000 4.650 4.650 4.650 0.000 4.650 4.650 4.650 0.000" Properties=species:S:1:pos:R:3 comment="GGA-PBE Ce2SiPPt6, relaxed" dos_ef_per_ev_fu=14.744 magnetic_moment_mub_per_fu=1.55 crystal_system=cubic raw_formation_energy_kj_per_mol_atoms=-62 pbc="T T T"
Ce 2.325 2.325 2.325
Ce 6.975 6.975 6.975
Si 0.000 0.000 0.000
P 4.650 4.650 4.650
Pt 4.650 4.650 2.348
Pt 4.650 2.348 4.650
Pt 6.952 4.650 4.650
Pt 2.348 4.650 4.650
Pt 4.650 6.952 4.650
Pt 4.650 4.650 6.952

=====

Entry 8:
12
Lattice="2.803 -2.803 0.000 2.803 2.803 0.000 -2.801 0.000 15.170" Properties=species:S:1:pos:R:3 comment="GGA-PBE CeSn2P2Pt7, relaxed" final_energy_ev_per_atom=-6.228 dos_ef_per_ev_fu=6.644 magnetic_moment_mub_per_fu=0.24 crystal_system=monoclinic pbc="T T T"
Ce 0.000 0.000 0.000
Sn -0.001 0.000 6.466
Sn 2.806 0.000 8.704
P 0.005 0.000 11.556
P 2.800 0.000 3.614
Pt 1.401 1.402 2.291
Pt 0.007 0.000 9.259
Pt 1.404 1.402 12.880
Pt 2.803 0.000 0.000
Pt 1.401 -1.402 2.291
Pt 2.798 0.000 5.911
Pt 1.404 -1.402 12.880

=====

Entry 9:
18
Lattice="4.164 2.404 6.258 -4.164 2.404 6.258 0.000 -4.808 6.258" Properties=species:S:1:pos:R:3 comment="GGA-PBE Sr2CeP3Pt12, relaxed" final_energy_ev_per_atom=-5.870 dos_ef_per_ev_fu=4.364 magnetic_moment_mub_per_fu=0.00 crystal_system=trigonal pbc="T T T"
Sr 0.000 0.000 1.873
Sr 0.000 0.000 16.902
Ce 0.000 0.000 9.387
P -2.082 -1.202 6.258
P -2.082 1.202 12.516
P 0.000 2.404 6.258
Pt -2.200 -1.270 8.581
Pt 0.000 -2.070 5.786
Pt -1.793 1.035 5.786
Pt 0.000 -2.541 10.193
Pt -2.200 1.270 10.193
Pt -1.793 -1.035 12.989
Pt 1.793 1.035 5.786
Pt 2.200 -1.270 8.581
Pt 0.000 2.541 8.581
Pt 1.793 -1.035 12.989
Pt 0.000 2.070 12.989
Pt 2.200 1.270 10.193

=====

Entry 10:
12
Lattice="4.058 0.000 0.000 0.000 7.054 0.000 0.000 0.000 6.933" Properties=species:S:1:pos:R:3 comment="GGA-PBE CeTc2P2Pt, relaxed" final_energy_ev_per_atom=-7.996 dos_ef_per_ev_fu=1.359 magnetic_moment_mub_per_fu=0.06 crystal_system=orthorhombic pbc="T T T"
Ce 0.000 0.784 0.000
Ce 0.000 6.270 3.467
Tc 0.000 2.245 2.747
Tc 0.000 4.808 6.214
Tc 2.029 2.976 0.723
Tc 2.029 4.078 4.190
P 0.000 2.972 4.897
P 0.000 4.082 1.431
P 2.029 1.095 2.141
P 2.029 5.959 5.608
Pt 2.029 1.308 4.809
Pt 2.029 5.746 1.343

=====

Entry 11:
12
Lattice="-2.016 2.016 14.575 2.016 -2.016 14.575 2.016 2.016 -14.575" Properties=species:S:1:pos:R:3 comment="GGA-PBE CeTe2P2Pt7, relaxed" dos_ef_per_ev_fu=7.571 magnetic_moment_mub_per_fu=0.30 crystal_system=tetragonal raw_formation_energy_kj_per_mol_atoms=-61 pbc="T T T"
Ce 0.000 0.000 0.000
Te 0.000 0.000 6.068
Te 0.000 0.000 23.081
P 0.000 0.000 11.048
P 0.000 0.000 18.101
Pt 2.016 0.000 2.245
Pt 0.000 0.000 8.769
Pt 2.016 0.000 12.330
Pt 0.000 0.000 14.575
Pt 0.000 2.016 2.245
Pt 0.000 0.000 20.380
Pt 0.000 2.016 12.330

=====

Entry 12:
16
Lattice="4.256 2.457 7.192 -4.256 2.457 7.192 0.000 -4.914 7.192" Properties=species:S:1:pos:R:3 comment="GGA-PBE Ce8Te4P3Pt, relaxed" dos_ef_per_ev_fu=49.543 magnetic_moment_mub_per_fu=7.83 crystal_system=trigonal raw_formation_energy_kj_per_mol_atoms=-132 pbc="T T T"
Ce -2.143 -1.237 12.342
Ce 0.000 0.000 5.149
Ce 0.000 -2.474 9.235
Ce -2.143 1.237 9.235
Ce 2.143 -1.237 12.342
Ce 0.000 2.474 12.342
Ce 0.000 0.000 16.428
Ce 2.143 1.237 9.235
Te 0.000 0.000 0.000
Te -2.128 -1.229 7.192
Te -2.128 1.229 14.385
Te 0.000 2.457 7.192
P -4.256 0.000 10.788
P -2.128 1.229 3.596
P 2.128 1.229 3.596
Pt 0.000 0.000 10.788

=====

Entry 13:
12
Lattice="2.836 -2.834 0.000 2.836 2.834 0.000 -2.634 0.000 15.146" Properties=species:S:1:pos:R:3 comment="GGA-PBE CeTl2P2Pt7, relaxed" final_energy_ev_per_atom=-5.823 dos_ef_per_ev_fu=8.760 magnetic_moment_mub_per_fu=0.34 crystal_system=monoclinic pbc="T T T"
Ce 0.000 0.000 0.000
Tl 0.045 0.000 6.384
Tl 2.994 0.000 8.763
P 0.197 0.000 11.578
P 2.842 0.000 3.568
Pt 1.422 1.416 2.263
Pt 0.163 0.000 9.336
Pt 1.617 1.416 12.883
Pt 2.836 0.000 0.000
Pt 1.422 -1.416 2.263
Pt 2.876 0.000 5.810
Pt 1.617 -1.416 12.883

=====

Entry 14:
10
Lattice="4.225 0.000 0.000 0.000 4.225 0.000 0.000 0.000 9.974" Properties=species:S:1:pos:R:3 comment="GGA-PBE Ce2ZnP3Pt4, relaxed" final_energy_ev_per_atom=-6.291 dos_ef_per_ev_fu=10.573 magnetic_moment_mub_per_fu=0.77 crystal_system=tetragonal pbc="T T T"
Ce 0.000 2.112 2.464
Ce 2.112 0.000 7.510
Zn 0.000 0.000 4.987
P 0.000 2.112 8.652
P 2.112 0.000 1.322
P 2.112 2.112 4.987
Pt 0.000 0.000 0.000
Pt 0.000 2.112 6.319
Pt 2.112 0.000 3.655
Pt 2.112 2.112 0.000

=====

Entry 15:
4
Lattice="1.855 1.071 9.390 -1.855 1.071 9.390 0.000 -2.142 9.390" Properties=species:S:1:pos:R:3 comment="GGA-PBE Ce2PuP, relaxed" polymorph_energy_mev_per_atom=224 dos_ef_per_ev_fu=13.258 magnetic_moment_mub_per_fu=7.27 crystal_system=trigonal pbc="T T T"
Ce 0.000 0.000 2.943
Ce 0.000 0.000 25.228
Pu 0.000 0.000 0.000
P 0.000 0.000 14.086

=====

Entry 16:
8
Lattice="4.020 -5.694 0.000 4.020 5.694 0.000 0.000 0.000 4.032" Properties=species:S:1:pos:R:3 comment="GGA-PBE CePu3P4, relaxed" polymorph_energy_mev_per_atom=0 dos_ef_per_ev_fu=25.693 magnetic_moment_mub_per_fu=15.70 crystal_system=orthorhombic pbc="T T T"
Ce 0.000 0.000 0.000
Pu 2.010 2.847 2.016
Pu 2.010 -2.847 2.016
Pu 4.020 0.000 0.000
P 4.020 2.809 0.000
P 2.055 0.000 2.016
P 5.984 0.000 2.016
P 4.020 -2.809 0.000

=====

Entry 17:
3
Lattice="3.782 0.000 0.000 -1.891 3.276 0.000 0.000 0.000 5.319" Properties=species:S:1:pos:R:3 comment="GGA-PBE CePuP, relaxed" final_energy_ev_per_atom=-9.283 dos_ef_per_ev_fu=5.323 magnetic_moment_mub_per_fu=5.95 crystal_system=trigonal pbc="T T T"
Ce 0.000 0.000 0.000
Pu 1.891 1.092 3.440
P 0.000 2.184 1.794

=====

Entry 18:
4
Lattice="4.436 0.000 0.000 0.000 4.436 0.000 0.000 0.000 4.427" Properties=species:S:1:pos:R:3 comment="GGA-PBE CePu2P, relaxed" polymorph_energy_mev_per_atom=0 dos_ef_per_ev_fu=9.136 magnetic_moment_mub_per_fu=11.48 crystal_system=tetragonal pbc="T T T"
Ce 0.000 0.000 0.000
Pu 0.000 2.218 2.213
Pu 2.218 0.000 2.213
P 2.218 2.218 0.000

=====

Entry 19:
8
Lattice="5.702 0.000 0.000 0.000 5.702 0.000 0.000 0.000 5.702" Properties=species:S:1:pos:R:3 comment="GGA-PBE CePu3P4, relaxed" polymorph_energy_mev_per_atom=11 dos_ef_per_ev_fu=29.650 magnetic_moment_mub_per_fu=15.78 crystal_system=cubic pbc="T T T"
Ce 0.000 0.000 0.000
Pu 0.000 2.851 2.851
Pu 2.851 0.000 2.851
Pu 2.851 2.851 0.000
P 0.000 0.000 2.851
P 0.000 2.851 0.000
P 2.851 0.000 0.000
P 2.851 2.851 2.851

=====

Entry 20:
12
Lattice="3.481 -6.027 0.000 3.481 6.027 0.000 -2.320 0.000 6.565" Properties=species:S:1:pos:R:3 comment="GGA-PBE CePu5P6, relaxed" final_energy_ev_per_atom=-10.379 dos_ef_per_ev_fu=43.478 magnetic_moment_mub_per_fu=25.67 crystal_system=monoclinic pbc="T T T"
Ce 0.000 0.000 0.000
Pu 2.321 4.034 3.283
Pu 3.481 2.013 0.000
Pu 2.321 0.000 3.283
Pu 3.481 -2.013 0.000
Pu 2.321 -4.034 3.283
P 1.177 2.036 1.665
P 0.033 0.000 4.911
P 1.177 -2.036 1.665
P 3.465 2.036 4.900
P 4.608 0.000 1.654
P 3.465 -2.036 4.900